# 1
Here is a relaxed structure of RbNiIrCl6 from Alexandria. Energies are from PBE.

```
data_RbNiIrCl6
_symmetry_space_group_name_H-M 'P 3 1 2'
_symmetry_Int_Tables_number 149
_cell_length_a 6.2428
_cell_length_b 6.2428
_cell_length_c 7.4671
_cell_angle_alpha 90.00
_cell_angle_beta 90.00
_cell_angle_gamma 120.00
loop_
_symmetry_equiv_pos_as_xyz
'x,y,z'
'-y,x-y,z'
'-x+y,-x,z'
'-y,-x,-z'
'-x+y,y,-z'
'x,x-y,-z'
loop_
_atom_site_label
_atom_site_fract_x
_atom_site_fract_y
_atom_site_fract_z
Rb1 0.0000 0.0000 0.0000
Ni1 0.3333 0.6667 0.5000
Ir1 0.6667 0.3333 0.5000
Cl1 0.3669 0.0066 0.6768
```

---

# 2
# Rb2NiIrCl6 (PBE, optimized geometry)
data_Rb2NiIrCl6
_symmetry_space_group_name_H-M 'I 4/m m m'
_symmetry_Int_Tables_number 139
_symmetry_space_group_name_Hall '-I 4 2'
_cell_length_a 7.249
_cell_length_b 7.249
_cell_length_c 9.094
_cell_angle_alpha 90.00
_cell_angle_beta 90.00
_cell_angle_gamma 90.00
loop_
_atom_site_label
_atom_site_fract_x
_atom_site_fract_y
_atom_site_fract_z
Rb1 0.000 0.500 0.250
Ni1 0.000 0.000 0.000
Ir1 0.000 0.000 0.500
Cl1 0.000 0.000 0.241
Cl2 0.236 0.236 0.500
# Density of states at the Fermi level = 14.8 states/eV per cell

---

# 3
# Sm8NiIr3Cl4 (PBE, optimized geometry)
data_Sm8NiIr3Cl4
_symmetry_space_group_name_H-M 'C 1 2/m 1'
_symmetry_Int_Tables_number 12
_cell_length_a 14.075
_cell_length_b 8.130
_cell_length_c 8.808
_cell_angle_alpha 90.00
_cell_angle_beta 122.25
_cell_angle_gamma 90.00
loop_
_symmetry_equiv_pos_as_xyz
'x,y,z'
'-x,-y,-z'
'-x,y,-z'
'x,-y,z'
'x+1/2,y+1/2,z'
'-x+1/2,-y+1/2,-z'
'-x+1/2,y+1/2,-z'
'x+1/2,-y+1/2,z'
loop_
_atom_site_label
_atom_site_fract_x
_atom_site_fract_y
_atom_site_fract_z
Sm1 0.015 0.248 0.299
Sm2 0.233 0.000 0.701
Sm3 0.235 0.500 0.705
Ni1 0.000 0.000 0.500
Ir1 0.000 0.500 0.500
Ir2 0.250 0.250 0.500
Cl1 0.000 0.000 0.000
Cl2 0.000 0.500 0.000
Cl3 0.250 0.250 0.000
# Density of states at the Fermi level = 12.4 states/eV per cell

---

# 4
# NpIrCl (PBE, optimized geometry)
data_NpIrCl
_symmetry_space_group_name_H-M 'R -3 m'
_symmetry_Int_Tables_number 166
_symmetry_space_group_name_Hall '-R 3 2"'
_cell_length_a 3.8373
_cell_length_b 3.8373
_cell_length_c 35.6980
_cell_angle_alpha 90.00
_cell_angle_beta 90.00
_cell_angle_gamma 120.00
loop_
_atom_site_label
_atom_site_fract_x
_atom_site_fract_y
_atom_site_fract_z
Np1 0.0000 0.0000 0.2335
Ir1 0.0000 0.0000 0.1438
Cl1 0.0000 0.0000 0.3825
# Density of states at the Fermi level = 40.6 states/eV per cell

---

Number 1: energy -34.3 eV for the cell shown, raw formation energy -0.851 eV/atom, volume 252 Å³/cell. Number 2: energy -73.9 eV for the cell shown, raw formation energy -0.930 eV/atom, volume 478 Å³/cell. Number 3: energy -191.4 eV for the cell shown, raw formation energy -1.137 eV/atom, volume 852 Å³/cell. Number 4: energy -154.2 eV for the cell shown, raw formation energy -0.684 eV/atom, volume 455 Å³/cell.